A plane-wave DFT calculation with PBE was carried out for NdMgSnHg after structural relaxation.

```
data_NdMgSnHg
_chemical_formula_sum 'Nd1 Mg1 Sn1 Hg1'
_space_group_name_H-M_alt 'P m m m'
_space_group_IT_number 47
_cell_length_a 4.4017
_cell_length_b 4.6844
_cell_length_c 4.9514
_cell_angle_alpha 90.00
_cell_angle_beta 90.00
_cell_angle_gamma 90.00
loop_
_space_group_symop_operation_xyz
'x,y,z'
'-x,-y,-z'
'-x,-y,z'
'x,y,-z'
'x,-y,-z'
'-x,y,z'
'-x,y,-z'
'x,-y,z'
loop_
_atom_site_label
_atom_site_fract_x
_atom_site_fract_y
_atom_site_fract_z
Nd1 0.0000 0.0000 0.0000
Mg1 0.0000 0.5000 0.5000
Sn1 0.5000 0.5000 0.0000
Hg1 0.5000 0.0000 0.5000
```

Results
Total energy, eV for the cell shown: -12.623
M_tot, Bohr magnetons per cell: 0.00
Formation enthalpy at 0 K, meV per atom: -489
Offset from the most stable computed form, meV per atom: 0.0